Record 1
Entry from the Alexandria database: a relaxed structure of RbTeRh2 (PBE).

The space group is I-42d (No. 122) and the conventional cell measures 7.964, 7.964 and 7.213 Å, with angles of 90.00, 90.00 and 90.00 degrees. The inequivalent atoms are Rb at (0.000, 0.000, 0.000), Te at (0.000, 0.000, 0.500) and Rh at (0.149, 0.250, 0.625).

The raw formation energy is 339 meV per atom.


Record 2
Entry from the Alexandria database: a relaxed structure of K2BeOs (PBE).

The space group is R-3m (No. 166, hexagonal axes) and the conventional cell measures 2.8485, 2.8485 and 34.8022 Å, with angles of 90.00, 90.00 and 120.00 degrees. The inequivalent atoms are K at (0.0000, 0.0000, 0.2480), Be at (0.0000, 0.0000, 0.0000) and Os at (0.0000, 0.0000, 0.5000).

Its energy of formation from the pure elements is 131.3 kJ per mole of atoms.